(1)
Ca3RhW | PBE | relaxed

Calculated values
The excess energy over the best structure of this formula in the dataset comes out at 0 meV/atom. The total magnetization is 0.785 μB per atom. The formation energy from the elements is 0.84 eV per atom. The volume is 153.2 Å³/cell. The space-group type is Pm-3m, No. 221.

a = 5.351 Å, b = 5.351 Å, c = 5.351 Å
α = 90.00°, β = 90.00°, γ = 90.00°
Fractional positions:
Ca  0.000  0.000  0.500
Ca  0.000  0.500  0.000
Ca  0.500  0.000  0.000
Rh  0.000  0.000  0.000
W  0.500  0.500  0.500


(2)
Li3YGe | PBE | relaxed

Calculated values
The excess energy over the best structure of this formula in the dataset comes out at 1194 meV/atom. The total magnetization is 0.238 μB per atom. The formation energy from the elements is 1.21 eV per atom. The volume is 147.8 Å³/cell. The space-group type is Pm-3m, No. 221.

a = 5.287 Å, b = 5.287 Å, c = 5.287 Å
α = 90.00°, β = 90.00°, γ = 90.00°
Fractional positions:
Li  0.000  0.000  0.500
Li  0.000  0.500  0.000
Li  0.500  0.000  0.000
Y  0.000  0.000  0.000
Ge  0.500  0.500  0.500


(3)
Sr2AlCuO5 | PBE | relaxed

Calculated values
The total magnetization is 0.219 μB per atom. For the formation energy (no corrections), the calculation gives -2.1622 eV/atom. The volume is 237.1 Å³/cell. The space-group type is Cmc2_1, No. 36.

a = 7.234 Å, b = 7.234 Å, c = 10.294 Å
α = 90.00°, β = 90.00°, γ = 153.89°
Fractional positions:
Sr  0.110  0.890  0.500
Sr  0.134  0.866  0.136
Sr  0.866  0.134  0.636
Sr  0.890  0.110  0.000
Al  0.438  0.562  0.274
Al  0.562  0.438  0.774
Cu  0.215  0.785  0.849
Cu  0.785  0.215  0.349
O  0.052  0.948  0.852
O  0.287  0.713  0.472
O  0.314  0.686  0.221
O  0.353  0.647  0.825
O  0.497  0.503  0.123
O  0.503  0.497  0.623
O  0.647  0.353  0.325
O  0.686  0.314  0.721
O  0.713  0.287  0.972
O  0.948  0.052  0.352


(4)
LiCu2AsO6 | PBE | relaxed

Calculated values
The total magnetization is 0.000 μB per atom. For the formation energy (no corrections), the calculation gives -0.9310 eV/atom. The volume is 244.4 Å³/cell. The space-group type is C2/c, No. 15.

a = 7.375 Å, b = 7.375 Å, c = 5.457 Å
α = 108.33°, β = 108.33°, γ = 105.49°
Fractional positions:
Li  0.066  0.934  0.750
Li  0.934  0.066  0.250
Cu  0.289  0.464  0.907
Cu  0.464  0.289  0.407
Cu  0.536  0.711  0.593
Cu  0.711  0.536  0.093
As  0.182  0.818  0.250
As  0.818  0.182  0.750
O  0.044  0.210  0.695
O  0.141  0.637  0.927
O  0.210  0.044  0.195
O  0.320  0.455  0.400
O  0.363  0.859  0.573
O  0.455  0.320  0.900
O  0.545  0.680  0.100
O  0.637  0.141  0.427
O  0.680  0.545  0.600
O  0.790  0.956  0.805
O  0.859  0.363  0.073
O  0.956  0.790  0.305


(5)
LiPa4CdN8 | PBE | relaxed

Calculated values
The total magnetization is 0.000 μB per atom. For the formation energy (no corrections), the calculation gives -1.1105 eV/atom. The volume is 213.0 Å³/cell. The space-group type is R3m, No. 160.

a = 6.345 Å, b = 6.345 Å, c = 6.345 Å
α = 68.48°, β = 68.48°, γ = 68.48°
Fractional positions:
Li  0.000  0.000  0.000
Pa  0.008  0.008  0.512
Pa  0.008  0.512  0.008
Pa  0.512  0.008  0.008
Pa  0.594  0.594  0.594
Cd  0.384  0.384  0.384
N  0.230  0.782  0.782
N  0.239  0.239  0.239
N  0.315  0.315  0.779
N  0.315  0.779  0.315
N  0.763  0.763  0.763
N  0.779  0.315  0.315
N  0.782  0.230  0.782
N  0.782  0.782  0.230


(6)
Al3GaOs | PBE | relaxed

Calculated values
The excess energy over the best structure of this formula in the dataset comes out at 1192 meV/atom. The total magnetization is 0.000 μB per atom. The formation energy from the elements is 1.25 eV per atom. The volume is 94.2 Å³/cell. The space-group type is Pm-3m, No. 221.

a = 4.550 Å, b = 4.550 Å, c = 4.550 Å
α = 90.00°, β = 90.00°, γ = 90.00°
Fractional positions:
Al  0.000  0.000  0.500
Al  0.000  0.500  0.000
Al  0.500  0.000  0.000
Ga  0.000  0.000  0.000
Os  0.500  0.500  0.500


(7)
CsCd2GeN | PBE | relaxed

Calculated values
The total magnetization is 0.000 μB per atom. For the formation energy (no corrections), the calculation gives 0.5208 eV/atom. The volume is 151.6 Å³/cell. The space-group type is P4/mmm, No. 123.

a = 6.307 Å, b = 6.307 Å, c = 3.811 Å
α = 90.00°, β = 90.00°, γ = 90.00°
Fractional positions:
Cs  0.000  0.000  0.000
Cd  0.000  0.500  0.500
Cd  0.500  0.000  0.500
Ge  0.500  0.500  0.500
N  0.500  0.500  0.000


(8)
NaLi6Pb6 | PBE | relaxed

Calculated values
The total magnetization is 0.000 μB per atom. The formation energy from the elements is -0.23 eV per atom. The volume is 303.0 Å³/cell. The space-group type is Immm, No. 71.

a = 7.706 Å, b = 7.706 Å, c = 7.706 Å
α = 133.96°, β = 100.61°, γ = 96.99°
Fractional positions:
Na  0.000  0.000  0.000
Li  0.000  0.000  0.500
Li  0.000  0.500  0.000
Li  0.246  0.500  0.746
Li  0.500  0.000  0.000
Li  0.500  0.500  0.500
Li  0.754  0.500  0.254
Pb  0.176  0.676  0.500
Pb  0.339  0.339  0.000
Pb  0.346  0.000  0.346
Pb  0.654  0.000  0.654
Pb  0.661  0.661  0.000
Pb  0.824  0.324  0.500